No. 1
# Pa2Si7Ni12 PBE relaxed
data_Pa2Si7Ni12
_space_group_name_H-M_alt 'P -6'
_space_group_IT_number 174
_space_group_name_Hall 'P -6'
_cell_length_a 9.1506
_cell_length_b 9.1506
_cell_length_c 3.7536
_cell_angle_alpha 90.00
_cell_angle_beta 90.00
_cell_angle_gamma 120.00
loop_
_atom_site_label
_atom_site_fract_x
_atom_site_fract_y
_atom_site_fract_z
Pa1 0.0000 0.0000 0.0000
Pa2 0.3333 0.6667 0.5000
Si1 0.0504 0.4473 0.0000
Si2 0.2676 0.2383 0.5000
Si3 0.6667 0.3333 0.0000
Ni1 0.0358 0.2780 0.5000
Ni2 0.1224 0.7279 0.0000
Ni3 0.3862 0.1922 0.0000
Ni4 0.5606 0.4298 0.5000
# Crystal system   hexagonal
# Formation energy from raw total energies   -641 meV per atom
# Fermi-level density of states   10.91 states/eV/f.u.



No. 2
# PaSiNi4 PBE relaxed
data_PaSiNi4
_space_group_name_H-M_alt 'F -4 3 m'
_space_group_IT_number 216
_space_group_name_Hall 'F -4 2 3'
_cell_length_a 6.899
_cell_length_b 6.899
_cell_length_c 6.899
_cell_angle_alpha 90.00
_cell_angle_beta 90.00
_cell_angle_gamma 90.00
loop_
_atom_site_label
_atom_site_fract_x
_atom_site_fract_y
_atom_site_fract_z
Pa1 0.000 0.000 0.000
Si1 0.250 0.250 0.750
Ni1 0.124 0.124 0.376
# Crystal system   cubic
# Formation energy from raw total energies   -391 meV per atom
# Fermi-level density of states   5.84 states/eV/f.u.



No. 3
# PaSi4Ni15 PBE relaxed
data_PaSi4Ni15
_space_group_name_H-M_alt 'P 4/m m m'
_space_group_IT_number 123
_space_group_name_Hall '-P 4 2'
_cell_length_a 3.616
_cell_length_b 3.616
_cell_length_c 17.600
_cell_angle_alpha 90.00
_cell_angle_beta 90.00
_cell_angle_gamma 90.00
loop_
_atom_site_label
_atom_site_fract_x
_atom_site_fract_y
_atom_site_fract_z
Pa1 0.000 0.000 0.000
Si1 0.000 0.000 0.213
Si2 0.000 0.000 0.404
Ni1 0.000 0.500 0.113
Ni2 0.000 0.500 0.307
Ni3 0.000 0.500 0.500
Ni4 0.500 0.500 0.000
Ni5 0.500 0.500 0.210
Ni6 0.500 0.500 0.403
# Crystal system   tetragonal
# Formation energy from raw total energies   -411 meV per atom
# Fermi-level density of states   6.77 states/eV/f.u.



No. 4
# PaSiNi4 PBE relaxed
data_PaSiNi4
_space_group_name_H-M_alt 'C m c m'
_space_group_IT_number 63
_space_group_name_Hall '-C 2c 2'
_cell_length_a 3.742
_cell_length_b 14.685
_cell_length_c 6.025
_cell_angle_alpha 90.00
_cell_angle_beta 90.00
_cell_angle_gamma 90.00
loop_
_atom_site_label
_atom_site_fract_x
_atom_site_fract_y
_atom_site_fract_z
Pa1 0.000 0.109 0.250
Si1 0.000 0.232 0.750
Ni1 0.000 0.074 0.750
Ni2 0.000 0.329 0.053
Ni3 0.000 0.500 0.000
# Crystal system   orthorhombic
# Formation energy from raw total energies   -472 meV per atom
# Fermi-level density of states   5.37 states/eV/f.u.



No. 5
# PaSiNi3 PBE relaxed
data_PaSiNi3
_space_group_name_H-M_alt 'P b a m'
_space_group_IT_number 55
_space_group_name_Hall '-P 2 2ab'
_cell_length_a 4.997
_cell_length_b 6.669
_cell_length_c 4.679
_cell_angle_alpha 90.00
_cell_angle_beta 90.00
_cell_angle_gamma 90.00
loop_
_atom_site_label
_atom_site_fract_x
_atom_site_fract_y
_atom_site_fract_z
Pa1 0.000 0.000 0.000
Si1 0.000 0.500 0.500
Ni1 0.000 0.500 0.000
Ni2 0.101 0.176 0.500
# Crystal system   orthorhombic
# Formation energy from raw total energies   -246 meV per atom
# Fermi-level density of states   3.28 states/eV/f.u.



No. 6
# Pa2SiNi6 PBE relaxed
data_Pa2SiNi6
_space_group_name_H-M_alt 'C 1 2/m 1'
_space_group_IT_number 12
_space_group_name_Hall '-C 2y'
_cell_length_a 8.830
_cell_length_b 5.190
_cell_length_c 5.821
_cell_angle_alpha 90.00
_cell_angle_beta 103.05
_cell_angle_gamma 90.00
loop_
_atom_site_label
_atom_site_fract_x
_atom_site_fract_y
_atom_site_fract_z
Pa1 0.142 0.000 0.329
Si1 0.000 0.500 0.500
Ni1 0.125 0.500 0.186
Ni2 0.130 0.244 0.828
# Crystal system   monoclinic
# Formation energy from raw total energies   -501 meV per atom
# Fermi-level density of states   8.84 states/eV/f.u.